The following is a PBE calculation of crystalline BaGdTc at its relaxed geometry, from OQMD via LeMat-Bulk.

Cell: 6.9859 6.9859 6.9859 Å, 90.00 90.00 90.00°
With the nearest neighbours (Å) after each atom.
Space group F-43m (No. 216)
Inequivalent atoms, fractional coordinates:
Ba1 0.0000 0.0000 0.0000 (multiplicity 4)  4 Tc 3.02, 4 Gd 3.02
Gd1 0.2500 0.2500 0.7500 (multiplicity 4)  4 Ba 3.02
Tc1 0.2500 0.2500 0.2500 (multiplicity 4)  4 Ba 3.02

Properties
size of the total moment = 1.1 μB/f.u.
DFT total energy = -49.66 eV per cell